[1]
Below is NaLaAg2Ir after structural relaxation, with properties calculated at the PBE level.

Values from the calculation:
The space group is No. 123. As for the calculated total energy: -3.641 eV/atom.

abc: 4.7388 4.7388 5.2045
angles: 90.00 90.00 90.00
Closest atoms and distances in Å follow each position.
Sites, in units of the cell vectors:
1 Na 0.0000 0.0000 0.0000  4 Ag 2.37, 2 Ir 2.60
2 La 0.5000 0.5000 0.5000  4 Ir 3.35, 8 Ag 3.52
3 Ag 0.0000 0.5000 0.0000  2 Na 2.37
4 Ag 0.5000 0.0000 0.0000  2 Na 2.37
5 Ir 0.0000 0.0000 0.5000  2 Na 2.60

=====

[2]
Below is LiCa2NdTe4 after structural relaxation, with properties calculated at the PBE level.

Values from the calculation:
The space group is No. 10. The raw formation energy is -1.45 eV/atom.

abc: 7.7146 4.5077 7.7480
angles: 90.00 108.99 90.00
Closest atoms and distances in Å follow each position.
Sites, in units of the cell vectors:
1 Li 0.0000 0.0000 0.0000  6 Te 3.09-3.15
2 Ca 0.0000 0.5000 0.5000  6 Te 3.15-3.18
3 Ca 0.5000 0.0000 0.5000  6 Te 3.21
4 Nd 0.5000 0.5000 0.0000  6 Te 3.14-3.18
5 Te 0.2454 0.0000 0.7552  1 Li 3.09, 2 Nd 3.18, 3 Ca 3.18-3.21
6 Te 0.2460 0.5000 0.2451  1 Nd 3.14, 3 Ca 3.15-3.21, 2 Li 3.15
7 Te 0.7540 0.5000 0.7549  1 Nd 3.14, 3 Ca 3.15-3.21, 2 Li 3.15
8 Te 0.7546 0.0000 0.2448  1 Li 3.09, 2 Nd 3.18, 3 Ca 3.18-3.21

=====

[3]
Below is MgBi2P2Pt7 after structural relaxation, with properties calculated at the PBE level.

Values from the calculation:
The space group is No. 139. As for the calculated total energy: -5.731 eV/atom.

abc: 14.9212 14.9212 14.9212
angles: 164.69 164.69 21.72
Closest atoms and distances in Å follow each position.
Sites, in units of the cell vectors:
1 Mg 0.0000 0.0000 0.0000  12 Pt 2.81-2.86
2 Bi 0.2096 0.2096 0.0000  5 Pt 2.86-2.88
3 Bi 0.7904 0.7904 0.0000  5 Pt 2.86-2.88
4 P 0.3864 0.3864 0.0000  5 Pt 2.31-2.36
5 P 0.6136 0.6136 0.0000  5 Pt 2.31-2.36
6 Pt 0.0703 0.5703 0.5000  2 P 2.36
7 Pt 0.3077 0.3077 0.0000  1 P 2.31
8 Pt 0.4297 0.9297 0.5000  2 P 2.36
9 Pt 0.5000 0.5000 0.0000  4 Mg 2.81, 8 Pt 2.86
10 Pt 0.5703 0.0703 0.5000  2 P 2.36
11 Pt 0.6923 0.6923 0.0000  1 P 2.31
12 Pt 0.9297 0.4297 0.5000  2 P 2.36

=====

[4]
Below is LiFe2Pb after structural relaxation, with properties calculated at the PBE level.

Values from the calculation:
The space group is No. 119. As for the calculated total energy: -5.389 eV/atom.

abc: 4.3824 4.3824 4.3824
angles: 119.91 119.91 90.16
Closest atoms and distances in Å follow each position.
Sites, in units of the cell vectors:
1 Li 0.0000 0.0000 0.0000  4 Fe 2.68, 4 Pb 2.68
2 Fe 0.5000 0.5000 0.0000  4 Fe 2.68, 4 Pb 2.68
3 Fe 0.7500 0.2500 0.5000  4 Fe 2.68, 4 Li 2.68
4 Pb 0.2500 0.7500 0.5000  4 Fe 2.68, 4 Li 2.68

=====

[5]
Below is TiV4Mo4 after structural relaxation, with properties calculated at the PBE level.

Values from the calculation:
The space group is No. 137. As for the calculated total energy: -9.278 eV/atom.

abc: 5.3534 5.3534 9.9999
angles: 90.00 90.00 90.00
Closest atoms and distances in Å follow each position.
Sites, in units of the cell vectors:
1 Ti 0.2500 0.7500 0.2500  4 Mo 2.98, 8 V 2.99
2 Ti 0.7500 0.2500 0.7500  4 Mo 2.98, 8 V 2.99
3 V 0.0256 0.2500 0.1920  3 V 2.39-2.40, 2 Mo 2.65
4 V 0.2500 0.0256 0.6920  3 V 2.39-2.40, 2 Mo 2.65
5 V 0.2500 0.4744 0.6920  3 V 2.39-2.40, 2 Mo 2.65
6 V 0.4744 0.2500 0.1920  3 V 2.39-2.40, 2 Mo 2.65
7 V 0.5256 0.7500 0.8080  3 V 2.39-2.40, 2 Mo 2.65
8 V 0.7500 0.5256 0.3080  3 V 2.39-2.40, 2 Mo 2.65
9 V 0.7500 0.9744 0.3080  3 V 2.39-2.40, 2 Mo 2.65
10 V 0.9744 0.7500 0.8080  3 V 2.39-2.40, 2 Mo 2.65
11 Mo 0.9996 0.2500 0.4834  5 V 2.65-2.92, 4 Mo 2.67-2.70
12 Mo 0.0004 0.7500 0.5166  5 V 2.65-2.92, 4 Mo 2.67-2.70
13 Mo 0.2500 0.9996 0.9834  5 V 2.65-2.92, 4 Mo 2.67-2.70
14 Mo 0.2500 0.5004 0.9834  5 V 2.65-2.92, 4 Mo 2.67-2.70
15 Mo 0.5004 0.2500 0.4834  5 V 2.65-2.92, 4 Mo 2.67-2.70
16 Mo 0.4996 0.7500 0.5166  5 V 2.65-2.92, 4 Mo 2.67-2.70
17 Mo 0.7500 0.0004 0.0166  5 V 2.65-2.92, 4 Mo 2.67-2.70
18 Mo 0.7500 0.4996 0.0166  5 V 2.65-2.92, 4 Mo 2.67-2.70

=====

[6]
Below is TbPaIn2O8 after structural relaxation, with properties calculated at the PBE level.

Values from the calculation:
The space group is No. 119. The raw formation energy is -2.13 eV/atom.

abc: 6.1957 6.1957 6.1957
angles: 110.79 110.79 106.87
Closest atoms and distances in Å follow each position.
Sites, in units of the cell vectors:
1 Tb 0.0000 0.0000 0.0000  4 O 2.26
2 Pa 0.7500 0.2500 0.5000  4 O 2.18
3 In 0.2500 0.7500 0.5000  4 O 2.05
4 In 0.5000 0.5000 0.0000  4 O 2.06
5 O 0.0322 0.3519 0.3197  1 In 2.05, 1 Tb 2.26
6 O 0.0322 0.7125 0.6803  1 In 2.05, 1 Tb 2.26
7 O 0.0974 0.2913 0.8061  1 In 2.06, 1 Pa 2.18
8 O 0.2875 0.9678 0.3197  1 In 2.05, 1 Tb 2.26
9 O 0.4852 0.2913 0.1939  1 In 2.06, 1 Pa 2.18
10 O 0.6481 0.9678 0.6803  1 In 2.05, 1 Tb 2.26
11 O 0.7087 0.5148 0.8061  1 In 2.06, 1 Pa 2.18
12 O 0.7087 0.9026 0.1939  1 In 2.06, 1 Pa 2.18

=====

[7]
Below is BaGaAg3 after structural relaxation, with properties calculated at the PBE level.

Values from the calculation:
The space group is No. 221. Its energy above the most stable polymorph in this dataset is 85.2 meV per atom.

abc: 5.0926 5.0926 5.0926
angles: 90.00 90.00 90.00
Closest atoms and distances in Å follow each position.
Sites, in units of the cell vectors:
1 Ba 0.0000 0.0000 0.0000  12 Ag 3.60
2 Ga 0.5000 0.5000 0.5000  6 Ag 2.55
3 Ag 0.0000 0.5000 0.5000  2 Ga 2.55
4 Ag 0.5000 0.0000 0.5000  2 Ga 2.55
5 Ag 0.5000 0.5000 0.0000  2 Ga 2.55

=====

[8]
Below is Pu3ZrH8 after structural relaxation, with properties calculated at the PBE level.

Values from the calculation:
The space group is No. 221. As for the calculated total energy: -6.935 eV/atom.

abc: 5.1516 5.1516 5.1516
angles: 90.00 90.00 90.00
Closest atoms and distances in Å follow each position.
Sites, in units of the cell vectors:
1 Pu 0.0000 0.0000 0.5000  8 H 2.28
2 Pu 0.0000 0.5000 0.0000  8 H 2.28
3 Pu 0.5000 0.0000 0.0000  8 H 2.28
4 Zr 0.5000 0.5000 0.5000  8 H 2.09
5 H 0.2663 0.2663 0.2663  1 Zr 2.09, 3 Pu 2.28
6 H 0.2663 0.2663 0.7337  1 Zr 2.09, 3 Pu 2.28
7 H 0.2663 0.7337 0.2663  1 Zr 2.09, 3 Pu 2.28
8 H 0.2663 0.7337 0.7337  1 Zr 2.09, 3 Pu 2.28
9 H 0.7337 0.2663 0.2663  1 Zr 2.09, 3 Pu 2.28
10 H 0.7337 0.2663 0.7337  1 Zr 2.09, 3 Pu 2.28
11 H 0.7337 0.7337 0.2663  1 Zr 2.09, 3 Pu 2.28
12 H 0.7337 0.7337 0.7337  1 Zr 2.09, 3 Pu 2.28

=====

[9]
Below is Fe2ReRh6 after structural relaxation, with properties calculated at the PBE level.

Values from the calculation:
The space group is No. 71. As for the calculated total energy: -8.033 eV/atom.

abc: 7.6929 7.6929 7.6929
angles: 159.73 123.80 60.37
Closest atoms and distances in Å follow each position.
Sites, in units of the cell vectors:
1 Fe 0.1687 0.1687 0.0000  8 Rh 2.61-2.62, 2 Fe 2.71
2 Fe 0.8313 0.8313 0.0000  8 Rh 2.61-2.62, 2 Fe 2.71
3 Re 0.5000 0.5000 0.0000  8 Rh 2.61-2.64, 2 Re 2.71
4 Rh 0.1418 0.3342 0.8076  3 Fe 2.61, 1 Re 2.61, 7 Rh 2.71-2.79
5 Rh 0.1867 0.0000 0.1867  2 Fe 2.62, 2 Re 2.64, 7 Rh 2.71-2.73
6 Rh 0.4735 0.6658 0.8076  3 Fe 2.61, 1 Re 2.61, 7 Rh 2.71-2.79
7 Rh 0.5265 0.3342 0.1924  3 Fe 2.61, 1 Re 2.61, 7 Rh 2.71-2.79
8 Rh 0.8133 0.0000 0.8133  2 Fe 2.62, 2 Re 2.64, 7 Rh 2.71-2.73
9 Rh 0.8582 0.6658 0.1924  3 Fe 2.61, 1 Re 2.61, 7 Rh 2.71-2.79

=====

[10]
Below is FeRuPt2 after structural relaxation, with properties calculated at the PBE level.

Values from the calculation:
The space group is No. 65. As for the calculated total energy: -7.537 eV/atom.

abc: 4.7698 4.7698 2.7278
angles: 90.00 90.00 110.46
Closest atoms and distances in Å follow each position.
Sites, in units of the cell vectors:
1 Fe 0.0000 0.0000 0.0000  2 Ru 2.72, 2 Fe 2.73, 8 Pt 2.75
2 Ru 0.5000 0.5000 0.0000  2 Fe 2.72, 2 Ru 2.73, 8 Pt 2.75
3 Pt 0.0000 0.5000 0.5000  4 Pt 2.72-2.73, 4 Fe 2.75, 4 Ru 2.75
4 Pt 0.5000 0.0000 0.5000  4 Pt 2.72-2.73, 4 Fe 2.75, 4 Ru 2.75

=====

[11]
Below is CuIr2Se after structural relaxation, with properties calculated at the PBE level.

Values from the calculation:
The space group is No. 6. The raw formation energy is 0.25 eV/atom.

abc: 2.7268 3.5034 6.8071
angles: 90.00 90.08 90.00
Closest atoms and distances in Å follow each position.
Sites, in units of the cell vectors:
1 Cu 0.0000 0.0000 0.0000  5 Ir 2.67-2.89, 2 Se 2.70, 2 Cu 2.73
2 Ir 0.0023 0.0000 0.4246  2 Se 2.56, 6 Ir 2.63-2.73
3 Ir 0.5016 0.5000 0.2183  6 Ir 2.63-2.73, 4 Cu 2.67
4 Se 0.0036 0.5000 0.6979  2 Ir 2.56, 2 Cu 2.70, 2 Se 2.73

=====

[12]
Below is Ac8CoRu3 after structural relaxation, with properties calculated at the PBE level.

Values from the calculation:
The space group is No. 166. As for the calculated total energy: -5.800 eV/atom.

abc: 8.2280 8.2280 8.2280
angles: 63.36 63.36 63.36
Closest atoms and distances in Å follow each position.
Sites, in units of the cell vectors:
1 Ac 0.2460 0.2460 0.2460  3 Ru 2.94
2 Ac 0.2476 0.7438 0.7438  1 Co 2.92, 2 Ru 2.94
3 Ac 0.2562 0.2562 0.7524  1 Co 2.92, 2 Ru 2.94
4 Ac 0.2562 0.7524 0.2562  1 Co 2.92, 2 Ru 2.94
5 Ac 0.7438 0.2476 0.7438  1 Co 2.92, 2 Ru 2.94
6 Ac 0.7438 0.7438 0.2476  1 Co 2.92, 2 Ru 2.94
7 Ac 0.7524 0.2562 0.2562  1 Co 2.92, 2 Ru 2.94
8 Ac 0.7540 0.7540 0.7540  3 Ru 2.94
9 Co 0.5000 0.5000 0.5000  6 Ac 2.92
10 Ru 0.0000 0.0000 0.5000  6 Ac 2.94
11 Ru 0.0000 0.5000 0.0000  6 Ac 2.94
12 Ru 0.5000 0.0000 0.0000  6 Ac 2.94